# Ac3LaIrRh

An optimized crystal structure of Ac3LaIrRh (PBE, Alexandria via LeMat-Bulk).

Cell: 8.362 8.362 12.730 Å, 90.00 90.00 150.31°
Fractional coordinates of all 12 atoms:
Ac1 0.004 0.996 0.750
Ac2 0.376 0.624 0.516
Ac3 0.376 0.624 0.984
Ac4 0.624 0.376 0.016
Ac5 0.624 0.376 0.484
Ac6 0.996 0.004 0.250
La1 0.239 0.761 0.250
La2 0.761 0.239 0.750
Ir1 0.371 0.629 0.750
Ir2 0.629 0.371 0.250
Rh1 0.000 0.000 0.000
Rh2 0.000 0.000 0.500

Computed properties:
DOS at the Fermi energy = 9.5 states/eV per cell
SG = No. 63
Total magnetic moment = 0.000 μB/f.u.
Electronic total energy = -6.10 eV per atom

# Ac2La2IrRh2

An optimized crystal structure of Ac2La2IrRh2 (PBE, Alexandria via LeMat-Bulk).

Cell: 14.407 4.099 8.207 Å, 90.00 119.59 90.00°
Fractional coordinates of all 14 atoms:
Ac1 0.032 0.000 0.262
Ac2 0.468 0.500 0.738
Ac3 0.532 0.500 0.262
Ac4 0.968 0.000 0.738
La1 0.219 0.500 0.787
La2 0.281 0.000 0.213
La3 0.719 0.000 0.787
La4 0.781 0.500 0.213
Ir1 0.000 0.500 0.500
Ir2 0.500 0.000 0.500
Rh1 0.121 0.500 0.046
Rh2 0.379 0.000 0.954
Rh3 0.621 0.000 0.046
Rh4 0.879 0.500 0.954

Computed properties:
DOS at the Fermi energy = 8.1 states/eV per cell
SG = No. 12
Total magnetic moment = 0.000 μB/f.u.
Electronic total energy = -6.56 eV per atom

# AcLaIrSe

An optimized crystal structure of AcLaIrSe (PBE, Alexandria via LeMat-Bulk).

Cell: 4.277 4.277 22.338 Å, 90.00 90.00 120.00°
Fractional coordinates of all 12 atoms:
Ac1 0.000 0.000 0.000
Ac2 0.333 0.667 0.667
Ac3 0.667 0.333 0.333
La1 0.000 0.000 0.517
La2 0.333 0.667 0.184
La3 0.667 0.333 0.851
Ir1 0.000 0.000 0.255
Ir2 0.333 0.667 0.922
Ir3 0.667 0.333 0.588
Se1 0.000 0.000 0.762
Se2 0.333 0.667 0.428
Se3 0.667 0.333 0.095

Computed properties:
DOS at the Fermi energy = 6.8 states/eV per cell
SG = No. 160
Total magnetic moment = 0.000 μB/f.u.
ΔE_f (raw) = -1.30 eV/atom
Electronic total energy = -6.65 eV per atom

# SrAc2LaIr

An optimized crystal structure of SrAc2LaIr (PBE, Alexandria via LeMat-Bulk).

Cell: 6.027 6.027 5.721 Å, 90.00 90.00 90.00°
Fractional coordinates of all 5 atoms:
Sr1 0.000 0.000 0.000
Ac1 0.000 0.500 0.500
Ac2 0.500 0.000 0.500
La1 0.500 0.500 0.000
Ir1 0.500 0.500 0.500

Computed properties:
DOS at the Fermi energy = 6.0 states/eV per cell
SG = No. 123
Total magnetic moment = 0.000 μB/f.u.
Electronic total energy = -5.06 eV per atom

# AcLaTeIr

An optimized crystal structure of AcLaTeIr (PBE, Alexandria via LeMat-Bulk).

Cell: 4.348 4.348 23.669 Å, 90.00 90.00 120.00°
Fractional coordinates of all 12 atoms:
Ac1 0.000 0.000 0.000
Ac2 0.333 0.667 0.667
Ac3 0.667 0.333 0.333
La1 0.000 0.000 0.804
La2 0.333 0.667 0.471
La3 0.667 0.333 0.138
Te1 0.000 0.000 0.232
Te2 0.333 0.667 0.899
Te3 0.667 0.333 0.565
Ir1 0.000 0.000 0.406
Ir2 0.333 0.667 0.073
Ir3 0.667 0.333 0.740

Computed properties:
DOS at the Fermi energy = 10.7 states/eV per cell
SG = No. 160
Total magnetic moment = 0.000 μB/f.u.
ΔE_f (raw) = -1.08 eV/atom
Electronic total energy = -6.34 eV per atom

# Ac2La2ThIr4

An optimized crystal structure of Ac2La2ThIr4 (PBE, Alexandria via LeMat-Bulk).

Cell: 9.379 9.379 6.478 Å, 98.45 98.45 25.71°
Fractional coordinates of all 9 atoms:
Ac1 0.119 0.119 0.061
Ac2 0.881 0.881 0.939
La1 0.323 0.323 0.394
La2 0.677 0.677 0.606
Th1 0.000 0.000 0.500
Ir1 0.260 0.260 0.829
Ir2 0.483 0.483 0.198
Ir3 0.517 0.517 0.802
Ir4 0.740 0.740 0.171

Computed properties:
DOS at the Fermi energy = 5.6 states/eV per cell
SG = No. 12
Total magnetic moment = 0.000 μB/f.u.
Electronic total energy = -7.43 eV per atom